# PBE BePPbS2, optimized geometry
# Raw total energy ... -4.0601 eV/atom
# E above lowest polymorph ... 0 meV per atom
# M_tot ... 0.00 μB/f.u.
# Mass density ... 5.470 g/cm3
# Formation energy without anion corrections ... 160 meV/atom
data_BePPbS2
_symmetry_space_group_name_H-M 'P 1'
_symmetry_Int_Tables_number 1
_cell_length_a 4.812
_cell_length_b 4.812
_cell_length_c 4.082
_cell_angle_alpha 90.00
_cell_angle_beta 90.00
_cell_angle_gamma 90.00
loop_
_symmetry_equiv_pos_as_xyz
'x,y,z'
loop_
_atom_site_label
_atom_site_fract_x
_atom_site_fract_y
_atom_site_fract_z
Be1 0.000 0.000 0.000
P1 0.000 0.000 0.500
Pb1 0.500 0.500 0.500
S1 0.000 0.500 0.000
S2 0.500 0.000 0.000